No. 1
! Tm2ThCu6, optimized geometry, DFT GGA-PBE; values from VASP
! N(E_F) (states/eV per atom): 0.819
! Electronic total energy (eV per atom): -4.785
! Energy of formation from the pure elements (eV per atom): -0.2358
! SG: P6/mmm (191)
&SYSTEM
  ibrav = 0, nat = 9, ntyp = 3
/
ATOMIC_SPECIES
Tm 168.93 Tm.upf
Cu 63.55 Cu.upf
Th 232.04 Th.upf
CELL_PARAMETERS angstrom
-2.988 1.667 -0.893
-3.189 -6.482 -1.428
-0.406 2.894 6.759
ATOMIC_POSITIONS angstrom
Tm -5.250 -1.690 0.408
Tm -1.334 -0.231 4.030
Cu -1.631 1.807 1.828
Cu -3.879 -1.547 3.091
Cu -1.763 2.753 4.038
Cu -4.016 -0.573 5.366
Cu -2.704 -0.374 1.348
Cu -2.568 -1.348 -0.927
Th 0.000 0.000 0.000

---

No. 2
! K2RbMgGa, optimized geometry, DFT GGA-PBE; values from VASP
! N(E_F) (states/eV per atom): 0.621
! Electronic total energy (eV per atom): -1.447
! Energy of formation from the pure elements (eV per atom): 0.1098
! SG: P4/mmm (123)
&SYSTEM
  ibrav = 0, nat = 5, ntyp = 4
/
ATOMIC_SPECIES
K 39.10 K.upf
Mg 24.30 Mg.upf
Rb 85.47 Rb.upf
Ga 69.72 Ga.upf
CELL_PARAMETERS angstrom
-0.883 6.609 -1.467
-3.566 0.803 5.767
4.498 1.181 2.617
ATOMIC_POSITIONS angstrom
K -0.441 3.305 -0.733
K -1.783 0.402 2.883
Mg 2.249 0.591 1.308
Rb 0.025 4.297 3.458
Ga 0.000 0.000 0.000

---

No. 3
! GePdSN2, optimized geometry, DFT GGA-PBE; values from VASP
! N(E_F) (states/eV per atom): 0.358
! Electronic total energy (eV per atom): -4.778
! Excess energy over the best structure of this formula in the dataset (eV per atom): 0.143
! Raw formation energy (meV per atom): 1339
! SG: P4/mmm (123)
&SYSTEM
  ibrav = 0, nat = 5, ntyp = 4
/
ATOMIC_SPECIES
N 14.01 N.upf
Ge 72.64 Ge.upf
S 32.06 S.upf
Pd 106.42 Pd.upf
CELL_PARAMETERS angstrom
-1.056 -3.839 0.025
2.509 -0.710 -3.009
3.698 -0.996 3.318
ATOMIC_POSITIONS angstrom
N 1.255 -0.355 -1.505
N -0.528 -1.920 0.012
Ge 2.575 -2.773 0.167
S 1.849 -0.498 1.659
Pd 0.000 0.000 0.000

---

No. 4
! Ba6Ge2N7, optimized geometry, DFT GGA-PBE; values from VASP
! N(E_F) (states/eV per atom): 0.678
! Electronic total energy (eV per atom): -5.667
! Raw formation energy (meV per atom): -397
! SG: R-3 (148)
&SYSTEM
  ibrav = 0, nat = 15, ntyp = 3
/
ATOMIC_SPECIES
Ba 137.33 Ba.upf
N 14.01 N.upf
Ge 72.64 Ge.upf
CELL_PARAMETERS angstrom
6.386 -4.025 0.004
6.386 4.025 0.004
3.845 0.000 6.496
ATOMIC_POSITIONS angstrom
Ba 10.465 0.752 1.751
Ba 6.152 -0.752 4.753
Ba 7.109 2.267 2.309
Ba 7.583 -1.515 1.097
Ba 9.035 1.515 5.407
Ba 9.509 -2.267 4.195
N 12.337 -1.836 4.914
N 12.960 0.849 3.323
N 4.280 1.836 1.590
N 8.309 0.000 3.252
N 4.817 -0.986 0.221
N 11.801 0.986 6.284
N 3.658 -0.849 3.181
Ge 12.391 0.000 4.850
Ge 4.227 0.000 1.654

---

No. 5
! ReAs4, optimized geometry, DFT GGA-PBE; values from VASP
! N(E_F) (states/eV per atom): 1.198
! Electronic total energy (eV per atom): -5.503
! Energy of formation from the pure elements (eV per atom): 0.7067
! Excess energy over the best structure of this formula in the dataset (eV per atom): 0.318
! SG: Pm-3m (221)
&SYSTEM
  ibrav = 0, nat = 5, ntyp = 2
/
ATOMIC_SPECIES
As 74.92 As.upf
Re 186.21 Re.upf
CELL_PARAMETERS angstrom
-1.579 -3.358 -3.069
-0.977 -2.922 3.700
-4.442 1.836 0.276
ATOMIC_POSITIONS angstrom
As -2.710 -0.543 1.988
As -1.278 -3.140 0.316
As -3.010 -0.761 -1.396
As 0.000 0.000 0.000
Re -3.499 -2.222 0.454

---

No. 6
! GdYHoHg, optimized geometry, DFT GGA-PBE; values from VASP
! N(E_F) (states/eV per atom): 1.335
! Electronic total energy (eV per atom): -6.423
! Energy of formation from the pure elements (eV per atom): -0.0672
! SG: F-43m (216)
&SYSTEM
  ibrav = 0, nat = 4, ntyp = 4
/
ATOMIC_SPECIES
Y 88.91 Y.upf
Ho 164.93 Ho.upf
Gd 157.25 Gd.upf
Hg 200.59 Hg.upf
CELL_PARAMETERS angstrom
-0.584 5.319 0.867
-1.160 3.308 -4.134
-4.904 2.281 -0.352
ATOMIC_POSITIONS angstrom
Y -4.986 8.181 -2.714
Ho 0.000 0.000 0.000
Gd -1.662 2.727 -0.905
Hg -3.324 5.454 -1.810

---

No. 7
! YAl2Co, optimized geometry, DFT GGA-PBE; values from VASP
! N(E_F) (states/eV per atom): 0.768
! Electronic total energy (eV per atom): -5.460
! Energy of formation from the pure elements (eV per atom): -0.1959
! SG: P2/m (10)
&SYSTEM
  ibrav = 0, nat = 4, ntyp = 3
/
ATOMIC_SPECIES
Al 26.98 Al.upf
Co 58.93 Co.upf
Y 88.91 Y.upf
CELL_PARAMETERS angstrom
4.338 0.000 0.000
0.000 3.352 0.002
0.000 1.220 5.066
ATOMIC_POSITIONS angstrom
Al 0.000 1.838 2.343
Al 0.000 0.448 0.190
Co 2.169 1.143 1.267
Y 2.169 3.429 3.800

---

No. 8
! BaTa2Mn, optimized geometry, DFT GGA-PBE; values from VASP
! N(E_F) (states/eV per atom): 1.145
! Electronic total energy (eV per atom): -7.872
! Energy of formation from the pure elements (eV per atom): 0.8272
! Excess energy over the best structure of this formula in the dataset (eV per atom): 0.255
! SG: R3m (160)
&SYSTEM
  ibrav = 0, nat = 4, ntyp = 3
/
ATOMIC_SPECIES
Ba 137.33 Ba.upf
Ta 180.95 Ta.upf
Mn 54.94 Mn.upf
CELL_PARAMETERS angstrom
-7.611 6.883 0.650
-7.876 5.568 3.560
-5.778 7.936 3.057
ATOMIC_POSITIONS angstrom
Ba -10.568 10.132 3.611
Ta -0.083 0.080 0.028
Ta -5.671 5.437 1.938
Mn -15.575 14.932 5.322

---

No. 9
! BeAg2Hg, optimized geometry, DFT GGA-PBE; values from VASP
! N(E_F) (states/eV per atom): 0.440
! Electronic total energy (eV per atom): -2.141
! Energy of formation from the pure elements (eV per atom): 0.2914
! Excess energy over the best structure of this formula in the dataset (eV per atom): 0.140
! SG: R3m (160)
&SYSTEM
  ibrav = 0, nat = 4, ntyp = 3
/
ATOMIC_SPECIES
Ag 107.87 Ag.upf
Be 9.01 Be.upf
Hg 200.59 Hg.upf
CELL_PARAMETERS angstrom
8.871 0.019 0.011
8.353 2.987 0.011
8.353 1.458 2.607
ATOMIC_POSITIONS angstrom
Ag 25.483 4.447 2.620
Ag 6.092 1.063 0.626
Be 12.924 2.256 1.329
Hg 19.445 3.394 1.999

---

No. 10
! Ga5SiPt3, optimized geometry, DFT GGA-PBE; values from VASP
! N(E_F) (states/eV per atom): 0.335
! Electronic total energy (eV per atom): -4.874
! Raw formation energy (meV per atom): -577
! SG: C2/c (15)
&SYSTEM
  ibrav = 0, nat = 18, ntyp = 3
/
ATOMIC_SPECIES
Pt 195.08 Pt.upf
Ga 69.72 Ga.upf
Si 28.09 Si.upf
CELL_PARAMETERS angstrom
-2.307 3.068 -4.563
-0.896 -7.196 -0.489
-6.143 2.975 5.106
ATOMIC_POSITIONS angstrom
Pt -3.781 0.664 -1.390
Pt -5.565 -1.817 1.444
Pt -3.071 1.488 2.553
Pt -2.406 -3.422 -0.936
Pt -6.940 2.268 0.990
Pt 0.000 0.000 0.000
Ga -4.899 0.641 0.919
Ga -3.279 3.061 -2.170
Ga -4.447 -1.794 -0.865
Ga -5.171 2.982 2.714
Ga -2.957 0.655 -3.867
Ga -3.348 -3.258 1.472
Ga -1.760 -0.934 -1.664
Ga -6.389 -1.808 3.922
Ga -5.998 2.105 -1.418
Ga -7.586 -0.219 1.718
Si -2.069 1.453 0.221
Si -6.381 4.590 0.322

---

No. 11
! LaLuTcAg, optimized geometry, DFT GGA-PBE; values from VASP
! N(E_F) (states/eV per atom): 0.961
! Electronic total energy (eV per atom): -5.719
! Energy of formation from the pure elements (eV per atom): -0.0526
! SG: F-43m (216)
&SYSTEM
  ibrav = 0, nat = 4, ntyp = 4
/
ATOMIC_SPECIES
Tc 98.00 Tc.upf
Lu 174.97 Lu.upf
La 138.91 La.upf
Ag 107.87 Ag.upf
CELL_PARAMETERS angstrom
-0.033 -2.013 4.624
3.273 -3.650 1.185
3.789 0.949 3.191
ATOMIC_POSITIONS angstrom
Tc 5.272 -3.535 6.750
Lu 0.000 0.000 0.000
La 3.515 -2.357 4.500
Ag 1.757 -1.178 2.250

---

No. 12
! LiTa2Re, optimized geometry, DFT GGA-PBE; values from VASP
! N(E_F) (states/eV per atom): 0.798
! Electronic total energy (eV per atom): -9.346
! Energy of formation from the pure elements (eV per atom): 0.1706
! SG: Imm2 (44)
&SYSTEM
  ibrav = 0, nat = 4, ntyp = 3
/
ATOMIC_SPECIES
Ta 180.95 Ta.upf
Li 6.94 Li.upf
Re 186.21 Re.upf
CELL_PARAMETERS angstrom
5.286 -0.074 0.578
4.344 3.013 0.578
1.434 0.438 4.203
ATOMIC_POSITIONS angstrom
Ta 2.779 0.848 1.335
Ta 1.579 0.482 4.151
Li 5.418 1.653 2.722
Re 8.255 2.519 4.035